Arrangement P

# HgBiP, relaxed, DFT PBE
data_HgBiP
_cell_length_a 3.582
_cell_length_b 3.582
_cell_length_c 12.660
_cell_angle_alpha 90.00
_cell_angle_beta 90.00
_cell_angle_gamma 90.00
_symmetry_space_group_name_H-M 'I 4 m m'
_symmetry_Int_Tables_number 107
_symmetry_space_group_name_Hall 'I 4 -2'
loop_
_atom_site_label
_atom_site_fract_x
_atom_site_fract_y
_atom_site_fract_z
Hg1 0.000 0.000 0.000
Bi1 0.000 0.000 0.283
P1 0.000 0.000 0.682
# total magnetic moment = 0.0 μB/f.u.

Arrangement Q

# HgBiP, relaxed, DFT PBE
data_HgBiP
_cell_length_a 4.0983
_cell_length_b 4.0983
_cell_length_c 5.7339
_cell_angle_alpha 90.00
_cell_angle_beta 90.00
_cell_angle_gamma 120.00
_symmetry_space_group_name_H-M 'P 3 m 1'
_symmetry_Int_Tables_number 156
loop_
_symmetry_equiv_pos_as_xyz
'x,y,z'
'-y,x-y,z'
'-x+y,-x,z'
'-y,-x,z'
'-x+y,y,z'
'x,x-y,z'
loop_
_atom_site_label
_atom_site_fract_x
_atom_site_fract_y
_atom_site_fract_z
Hg1 0.0000 0.0000 0.0000
Bi1 0.3333 0.6667 0.5796
P1 0.6667 0.3333 0.3320
# total magnetic moment = 0.0 μB/f.u.

It is arrangement P that is the least stable of them.

Arrangement P

# HgBiP3, relaxed, DFT PBE
data_HgBiP3
_cell_length_a 5.332
_cell_length_b 5.332
_cell_length_c 5.332
_cell_angle_alpha 90.00
_cell_angle_beta 90.00
_cell_angle_gamma 90.00
_symmetry_space_group_name_H-M 'P m -3 m'
_symmetry_Int_Tables_number 221
_symmetry_space_group_name_Hall '-P 4 2 3'
loop_
_atom_site_label
_atom_site_fract_x
_atom_site_fract_y
_atom_site_fract_z
Hg1 0.000 0.000 0.000
Bi1 0.500 0.500 0.500
P1 0.000 0.500 0.500
# total magnetic moment = 2.0 μB/f.u.

Arrangement Q

# HgBiP3, relaxed, DFT PBE
data_HgBiP3
_cell_length_a 4.981
_cell_length_b 4.981
_cell_length_c 4.981
_cell_angle_alpha 90.00
_cell_angle_beta 90.00
_cell_angle_gamma 90.00
_symmetry_space_group_name_H-M 'P m -3 m'
_symmetry_Int_Tables_number 221
_symmetry_space_group_name_Hall '-P 4 2 3'
loop_
_atom_site_label
_atom_site_fract_x
_atom_site_fract_y
_atom_site_fract_z
Hg1 0.000 0.000 0.000
Bi1 0.500 0.500 0.500
P1 0.000 0.000 0.500
# total magnetic moment = 0.0 μB/f.u.

It is arrangement P that is the least stable of them.

Arrangement P

# HgBiPS2, relaxed, DFT PBE
data_HgBiPS2
_cell_length_a 5.219
_cell_length_b 5.219
_cell_length_c 5.520
_cell_angle_alpha 90.00
_cell_angle_beta 90.00
_cell_angle_gamma 90.00
_symmetry_space_group_name_H-M 'P 4/m m m'
_symmetry_Int_Tables_number 123
_symmetry_space_group_name_Hall '-P 4 2'
loop_
_atom_site_label
_atom_site_fract_x
_atom_site_fract_y
_atom_site_fract_z
Hg1 0.000 0.000 0.000
Bi1 0.500 0.500 0.500
P1 0.500 0.500 0.000
S1 0.000 0.500 0.500
# total magnetic moment = 1.5 μB/f.u.

Arrangement Q

# HgBiPS2, relaxed, DFT PBE
data_HgBiPS2
_cell_length_a 4.944
_cell_length_b 4.944
_cell_length_c 5.029
_cell_angle_alpha 90.00
_cell_angle_beta 90.00
_cell_angle_gamma 90.00
_symmetry_space_group_name_H-M 'P 4/m m m'
_symmetry_Int_Tables_number 123
_symmetry_space_group_name_Hall '-P 4 2'
loop_
_atom_site_label
_atom_site_fract_x
_atom_site_fract_y
_atom_site_fract_z
Hg1 0.000 0.000 0.000
Bi1 0.500 0.500 0.500
P1 0.000 0.000 0.500
S1 0.000 0.500 0.000
# total magnetic moment = 0.0 μB/f.u.

It is arrangement P that is the least stable of them.

Arrangement P

# Tc2HgBiP, relaxed, DFT PBE
data_Tc2HgBiP
_cell_length_a 5.248
_cell_length_b 5.248
_cell_length_c 5.227
_cell_angle_alpha 90.00
_cell_angle_beta 90.00
_cell_angle_gamma 90.00
_symmetry_space_group_name_H-M 'P 4/m m m'
_symmetry_Int_Tables_number 123
_symmetry_space_group_name_Hall '-P 4 2'
loop_
_atom_site_label
_atom_site_fract_x
_atom_site_fract_y
_atom_site_fract_z
Tc1 0.000 0.500 0.000
Hg1 0.000 0.000 0.500
Bi1 0.500 0.500 0.000
P1 0.500 0.500 0.500
# total magnetic moment = 5.5 μB/f.u.

Arrangement Q

# Tc2HgBiP, relaxed, DFT PBE
data_Tc2HgBiP
_cell_length_a 4.548
_cell_length_b 4.548
_cell_length_c 5.038
_cell_angle_alpha 90.00
_cell_angle_beta 90.00
_cell_angle_gamma 90.00
_symmetry_space_group_name_H-M 'P 4/m m m'
_symmetry_Int_Tables_number 123
_symmetry_space_group_name_Hall '-P 4 2'
loop_
_atom_site_label
_atom_site_fract_x
_atom_site_fract_y
_atom_site_fract_z
Tc1 0.000 0.500 0.000
Hg1 0.000 0.000 0.500
Bi1 0.500 0.500 0.500
P1 0.000 0.000 0.000
# total magnetic moment = 1.7 μB/f.u.

It is arrangement P that is the least stable of them.

Arrangement P

# Pa2HgBi, relaxed, DFT PBE
data_Pa2HgBi
_cell_length_a 3.557
_cell_length_b 3.557
_cell_length_c 8.329
_cell_angle_alpha 90.00
_cell_angle_beta 90.00
_cell_angle_gamma 90.00
_symmetry_space_group_name_H-M 'P 4/m m m'
_symmetry_Int_Tables_number 123
_symmetry_space_group_name_Hall '-P 4 2'
loop_
_atom_site_label
_atom_site_fract_x
_atom_site_fract_y
_atom_site_fract_z
Pa1 0.000 0.000 0.249
Hg1 0.500 0.500 0.500
Bi1 0.500 0.500 0.000
# total magnetic moment = 0.3 μB/f.u.

Arrangement Q

# Pa2HgBi, relaxed, DFT PBE
data_Pa2HgBi
_cell_length_a 4.4359
_cell_length_b 4.4359
_cell_length_c 21.1577
_cell_angle_alpha 90.00
_cell_angle_beta 90.00
_cell_angle_gamma 120.00
_symmetry_space_group_name_H-M 'R -3 m'
_symmetry_Int_Tables_number 166
_symmetry_space_group_name_Hall '-R 3 2"'
loop_
_atom_site_label
_atom_site_fract_x
_atom_site_fract_y
_atom_site_fract_z
Pa1 0.0000 0.0000 0.2425
Hg1 0.0000 0.0000 0.5000
Bi1 0.0000 0.0000 0.0000
# total magnetic moment = 0.0 μB/f.u.

Arrangement R

# Pa2HgBi, relaxed, DFT PBE
data_Pa2HgBi
_cell_length_a 4.778
_cell_length_b 4.778
_cell_length_c 4.605
_cell_angle_alpha 90.00
_cell_angle_beta 90.00
_cell_angle_gamma 90.00
_symmetry_space_group_name_H-M 'P 4/m m m'
_symmetry_Int_Tables_number 123
_symmetry_space_group_name_Hall '-P 4 2'
loop_
_atom_site_label
_atom_site_fract_x
_atom_site_fract_y
_atom_site_fract_z
Pa1 0.000 0.500 0.000
Hg1 0.000 0.000 0.500
Bi1 0.500 0.500 0.500
# total magnetic moment = 1.9 μB/f.u.

Arrangement S

# Pa2HgBi, relaxed, DFT PBE
data_Pa2HgBi
_cell_length_a 7.587
_cell_length_b 7.587
_cell_length_c 7.587
_cell_angle_alpha 90.00
_cell_angle_beta 90.00
_cell_angle_gamma 90.00
_symmetry_space_group_name_H-M 'F m -3 m'
_symmetry_Int_Tables_number 225
_symmetry_space_group_name_Hall '-F 4 2 3'
loop_
_atom_site_label
_atom_site_fract_x
_atom_site_fract_y
_atom_site_fract_z
Pa1 0.250 0.250 0.250
Hg1 0.000 0.000 0.000
Bi1 0.000 0.000 0.500
# total magnetic moment = 3.7 μB/f.u.

It is arrangement Q that is the least stable of them.

Arrangement P

# HgBi2Pb8, relaxed, DFT PBE
data_HgBi2Pb8
_cell_length_a 17.986
_cell_length_b 6.941
_cell_length_c 6.100
_cell_angle_alpha 90.00
_cell_angle_beta 107.84
_cell_angle_gamma 90.00
_symmetry_space_group_name_H-M 'C 1 2/m 1'
_symmetry_Int_Tables_number 12
loop_
_symmetry_equiv_pos_as_xyz
'x,y,z'
'-x,-y,-z'
'-x,y,-z'
'x,-y,z'
'x+1/2,y+1/2,z'
'-x+1/2,-y+1/2,-z'
'-x+1/2,y+1/2,-z'
'x+1/2,-y+1/2,z'
loop_
_atom_site_label
_atom_site_fract_x
_atom_site_fract_y
_atom_site_fract_z
Hg1 0.000 0.000 0.000
Bi1 0.170 0.000 0.894
Pb1 0.082 0.259 0.426
Pb2 0.134 0.500 0.961
Pb3 0.248 0.000 0.465
# total magnetic moment = 0.0 μB/f.u.

Arrangement Q

# HgBi2Pb8, relaxed, DFT PBE
data_HgBi2Pb8
_cell_length_a 18.489
_cell_length_b 4.192
_cell_length_c 9.021
_cell_angle_alpha 90.00
_cell_angle_beta 101.04
_cell_angle_gamma 90.00
_symmetry_space_group_name_H-M 'C 1 2/m 1'
_symmetry_Int_Tables_number 12
loop_
_symmetry_equiv_pos_as_xyz
'x,y,z'
'-x,-y,-z'
'-x,y,-z'
'x,-y,z'
'x+1/2,y+1/2,z'
'-x+1/2,-y+1/2,-z'
'-x+1/2,y+1/2,-z'
'x+1/2,-y+1/2,z'
loop_
_atom_site_label
_atom_site_fract_x
_atom_site_fract_y
_atom_site_fract_z
Hg1 0.000 0.000 0.000
Bi1 0.229 0.500 0.636
Pb1 0.045 0.500 0.735
Pb2 0.092 0.000 0.461
Pb3 0.133 0.500 0.171
Pb4 0.184 0.000 0.898
# total magnetic moment = 0.0 μB/f.u.

It is arrangement P that is the least stable of them.

Arrangement P

# HgBiPb3, relaxed, DFT PBE
data_HgBiPb3
_cell_length_a 4.477
_cell_length_b 6.196
_cell_length_c 11.787
_cell_angle_alpha 90.55
_cell_angle_beta 90.35
_cell_angle_gamma 110.87
_symmetry_space_group_name_H-M 'P -1'
_symmetry_Int_Tables_number 2
loop_
_symmetry_equiv_pos_as_xyz
'x,y,z'
'-x,-y,-z'
loop_
_atom_site_label
_atom_site_fract_x
_atom_site_fract_y
_atom_site_fract_z
Hg1 0.052 0.104 0.148
Bi1 0.439 0.884 0.332
Pb1 0.143 0.281 0.460
Pb2 0.261 0.524 0.753
Pb3 0.355 0.716 0.050
# total magnetic moment = 0.0 μB/f.u.

Arrangement Q

# HgBiPb3, relaxed, DFT PBE
data_HgBiPb3
_cell_length_a 5.183
_cell_length_b 6.715
_cell_length_c 9.460
_cell_angle_alpha 90.00
_cell_angle_beta 90.00
_cell_angle_gamma 90.00
_symmetry_space_group_name_H-M 'P m m n'
_symmetry_Int_Tables_number 59
loop_
_symmetry_equiv_pos_as_xyz
'x,y,z'
'-x,-y,-z'
'-x+1/2,-y+1/2,z'
'x+1/2,y+1/2,-z'
'x+1/2,-y,-z'
'-x+1/2,y,z'
'-x,y+1/2,-z'
'x,-y+1/2,z'
loop_
_atom_site_label
_atom_site_fract_x
_atom_site_fract_y
_atom_site_fract_z
Hg1 0.250 0.250 0.127
Bi1 0.250 0.750 0.418
Pb1 0.250 0.001 0.723
Pb2 0.250 0.750 0.065
# total magnetic moment = 0.0 μB/f.u.

It is arrangement Q that is the least stable of them.

Arrangement P

# HgBiPb4, relaxed, DFT PBE
data_HgBiPb4
_cell_length_a 5.955
_cell_length_b 5.999
_cell_length_c 6.107
_cell_angle_alpha 82.56
_cell_angle_beta 61.39
_cell_angle_gamma 74.97
_symmetry_space_group_name_H-M 'P -1'
_symmetry_Int_Tables_number 2
loop_
_symmetry_equiv_pos_as_xyz
'x,y,z'
'-x,-y,-z'
loop_
_atom_site_label
_atom_site_fract_x
_atom_site_fract_y
_atom_site_fract_z
Hg1 0.000 0.000 0.000
Bi1 0.500 0.500 0.000
Pb1 0.166 0.499 0.669
Pb2 0.332 0.001 0.332
# total magnetic moment = 0.0 μB/f.u.

Arrangement Q

# HgBiPb4, relaxed, DFT PBE
data_HgBiPb4
_cell_length_a 9.237
_cell_length_b 9.237
_cell_length_c 9.237
_cell_angle_alpha 90.00
_cell_angle_beta 90.00
_cell_angle_gamma 90.00
_symmetry_space_group_name_H-M 'F -4 3 m'
_symmetry_Int_Tables_number 216
_symmetry_space_group_name_Hall 'F -4 2 3'
loop_
_atom_site_label
_atom_site_fract_x
_atom_site_fract_y
_atom_site_fract_z
Hg1 0.000 0.000 0.000
Bi1 0.250 0.250 0.250
Pb1 0.125 0.125 0.625
# total magnetic moment = 0.0 μB/f.u.

It is arrangement Q that is the least stable of them.

Arrangement P

# Hg3BiPb3, relaxed, DFT PBE
data_Hg3BiPb3
_cell_length_a 8.272
_cell_length_b 8.272
_cell_length_c 8.272
_cell_angle_alpha 90.00
_cell_angle_beta 90.00
_cell_angle_gamma 90.00
_symmetry_space_group_name_H-M 'P m -3 n'
_symmetry_Int_Tables_number 223
_symmetry_space_group_name_Hall '-P 4n 2 3'
loop_
_atom_site_label
_atom_site_fract_x
_atom_site_fract_y
_atom_site_fract_z
Hg1 0.000 0.250 0.500
Bi1 0.000 0.000 0.000
Pb1 0.000 0.500 0.250
# total magnetic moment = 1.4 μB/f.u.

Arrangement Q

# Hg3BiPb3, relaxed, DFT PBE
data_Hg3BiPb3
_cell_length_a 9.1262
_cell_length_b 9.1262
_cell_length_c 5.6499
_cell_angle_alpha 90.00
_cell_angle_beta 90.00
_cell_angle_gamma 120.00
_symmetry_space_group_name_H-M 'P 63/m'
_symmetry_Int_Tables_number 176
_symmetry_space_group_name_Hall '-P 6c'
loop_
_atom_site_label
_atom_site_fract_x
_atom_site_fract_y
_atom_site_fract_z
Hg1 0.1068 0.6260 0.2500
Bi1 0.3333 0.6667 0.7500
Pb1 0.0689 0.8131 0.7500
# total magnetic moment = 0.0 μB/f.u.

It is arrangement P that is the least stable of them.

Arrangement P

# HgBi2Pb6, relaxed, DFT PBE
data_HgBi2Pb6
_cell_length_a 6.743
_cell_length_b 9.854
_cell_length_c 8.670
_cell_angle_alpha 90.00
_cell_angle_beta 98.98
_cell_angle_gamma 90.00
_symmetry_space_group_name_H-M 'P 1 21/c 1'
_symmetry_Int_Tables_number 14
loop_
_symmetry_equiv_pos_as_xyz
'x,y,z'
'-x,-y,-z'
'-x,y+1/2,-z+1/2'
'x,-y+1/2,z+1/2'
loop_
_atom_site_label
_atom_site_fract_x
_atom_site_fract_y
_atom_site_fract_z
Hg1 0.000 0.000 0.000
Bi1 0.500 0.170 0.000
Pb1 0.173 0.167 0.668
Pb2 0.175 0.665 0.168
Pb3 0.332 0.501 0.827
# total magnetic moment = 0.0 μB/f.u.

Arrangement Q

# HgBi2Pb6, relaxed, DFT PBE
data_HgBi2Pb6
_cell_length_a 15.689
_cell_length_b 3.481
_cell_length_c 12.043
_cell_angle_alpha 90.00
_cell_angle_beta 119.52
_cell_angle_gamma 90.00
_symmetry_space_group_name_H-M 'C 1 2/m 1'
_symmetry_Int_Tables_number 12
loop_
_symmetry_equiv_pos_as_xyz
'x,y,z'
'-x,-y,-z'
'-x,y,-z'
'x,-y,z'
'x+1/2,y+1/2,z'
'-x+1/2,-y+1/2,-z'
'-x+1/2,y+1/2,-z'
'x+1/2,-y+1/2,z'
loop_
_atom_site_label
_atom_site_fract_x
_atom_site_fract_y
_atom_site_fract_z
Hg1 0.000 0.000 0.000
Bi1 0.158 0.500 0.302
Pb1 0.050 0.000 0.760
Pb2 0.124 0.500 0.552
Pb3 0.224 0.000 0.103
# total magnetic moment = 0.0 μB/f.u.

It is arrangement Q that is the least stable of them.

Arrangement P

# Hg5Bi2Pb12, relaxed, DFT PBE
data_Hg5Bi2Pb12
_cell_length_a 16.336
_cell_length_b 9.788
_cell_length_c 7.380
_cell_angle_alpha 90.00
_cell_angle_beta 92.79
_cell_angle_gamma 90.00
_symmetry_space_group_name_H-M 'C 1 2/m 1'
_symmetry_Int_Tables_number 12
loop_
_symmetry_equiv_pos_as_xyz
'x,y,z'
'-x,-y,-z'
'-x,y,-z'
'x,-y,z'
'x+1/2,y+1/2,z'
'-x+1/2,-y+1/2,-z'
'-x+1/2,y+1/2,-z'
'x+1/2,-y+1/2,z'
loop_
_atom_site_label
_atom_site_fract_x
_atom_site_fract_y
_atom_site_fract_z
Hg1 0.000 0.000 0.000
Hg2 0.162 0.500 0.408
Hg3 0.243 0.000 0.000
Bi1 0.000 0.224 0.500
Pb1 0.042 0.500 0.766
Pb2 0.103 0.269 0.104
Pb3 0.146 0.000 0.391
Pb4 0.196 0.247 0.702
# total magnetic moment = 0.0 μB/f.u.

Arrangement Q

# Hg5Bi2Pb12, relaxed, DFT PBE
data_Hg5Bi2Pb12
_cell_length_a 17.474
_cell_length_b 11.228
_cell_length_c 6.204
_cell_angle_alpha 90.00
_cell_angle_beta 104.39
_cell_angle_gamma 90.00
_symmetry_space_group_name_H-M 'C 1 2/m 1'
_symmetry_Int_Tables_number 12
loop_
_symmetry_equiv_pos_as_xyz
'x,y,z'
'-x,-y,-z'
'-x,y,-z'
'x,-y,z'
'x+1/2,y+1/2,z'
'-x+1/2,-y+1/2,-z'
'-x+1/2,y+1/2,-z'
'x+1/2,-y+1/2,z'
loop_
_atom_site_label
_atom_site_fract_x
_atom_site_fract_y
_atom_site_fract_z
Hg1 0.000 0.000 0.000
Hg2 0.172 0.500 0.376
Hg3 0.220 0.000 0.019
Bi1 0.000 0.276 0.500
Pb1 0.072 0.500 0.833
Pb2 0.097 0.000 0.519
Pb3 0.101 0.234 0.121
Pb4 0.196 0.265 0.697
# total magnetic moment = 0.0 μB/f.u.

It is arrangement Q that is the least stable of them.